#w
PBE-GGA Rb2NaLi2ReO6, optimized geometry; symmetry = No. 12; magnetic moment = 0.00 μB/cell
1.0
2.615 -5.801 0.000
2.615 5.801 0.000
-2.039 0.000 5.578
Rb Na Li Re O
2 1 2 1 6
direct
0.180 0.820 0.000
0.820 0.180 0.000
0.500 0.500 0.000
0.394 0.606 0.500
0.606 0.394 0.500
0.000 0.000 0.500
0.125 0.357 0.685
0.214 0.214 0.293
0.357 0.125 0.685
0.643 0.875 0.315
0.786 0.786 0.707
0.875 0.643 0.315

---

#x
PBE-GGA Rb2NaLi2ReO6, optimized geometry; symmetry = No. 12; magnetic moment = 0.00 μB/cell
1.0
3.024 -6.009 0.000
3.024 6.009 0.000
-1.653 0.000 4.794
Rb Na Li Re O
2 1 2 1 6
direct
0.182 0.818 0.000
0.818 0.182 0.000
0.000 0.000 0.500
0.401 0.599 0.500
0.599 0.401 0.500
0.500 0.500 0.000
0.209 0.434 0.755
0.292 0.292 0.213
0.434 0.209 0.755
0.566 0.791 0.245
0.708 0.708 0.787
0.791 0.566 0.245

---

Q: Which of them is the most stable? A: #x.